Run P
! PBE CoAg3Ge, relaxed; values from VASP
! - spin magnetization (Bohr magnetons per cell) = 2.2
! - density of states at the Fermi level (states/eV/f.u.) = 1.8
&SYSTEM
  ibrav = 0, nat = 5, ntyp = 3
/
ATOMIC_SPECIES
Ge 72.64 Ge.upf
Co 58.93 Co.upf
Ag 107.87 Ag.upf
CELL_PARAMETERS angstrom
-4.1269 -0.7391 -2.3653
1.5346 -4.3699 -1.3120
-1.9458 -1.8789 3.9819
ATOMIC_POSITIONS crystal
Ge 0.0000 0.0000 0.0000
Co 0.5000 0.5000 0.5000
Ag 0.0000 0.5000 0.0000
Ag 0.0000 0.0000 0.5000
Ag 0.5000 0.0000 0.0000



Run Q
! PBE CoAg3Ge, relaxed; values from VASP
! - spin magnetization (Bohr magnetons per cell) = 1.8
! - density of states at the Fermi level (states/eV/f.u.) = 8.7
&SYSTEM
  ibrav = 0, nat = 5, ntyp = 3
/
ATOMIC_SPECIES
Ge 72.64 Ge.upf
Co 58.93 Co.upf
Ag 107.87 Ag.upf
CELL_PARAMETERS angstrom
-0.3571 1.0613 -4.6589
1.1373 -4.5187 -1.1165
-4.6409 -1.1890 0.0849
ATOMIC_POSITIONS crystal
Ge 0.5000 0.5000 0.5000
Co 0.0000 0.0000 0.0000
Ag 0.0000 0.5000 0.0000
Ag 0.0000 0.0000 0.5000
Ag 0.5000 0.0000 0.0000



Result of the stability comparison: run P is the least stable of them.



Run P
! PBE VCo2AgGe, relaxed; values from VASP
! - spin magnetization (Bohr magnetons per cell) = 3.5
! - density of states at the Fermi level (states/eV/f.u.) = 12.8
&SYSTEM
  ibrav = 0, nat = 5, ntyp = 4
/
ATOMIC_SPECIES
Ge 72.64 Ge.upf
Co 58.93 Co.upf
Ag 107.87 Ag.upf
V 50.94 V.upf
CELL_PARAMETERS angstrom
4.6115 0.0000 0.0000
0.0000 4.5811 0.0000
0.0000 0.0000 4.6115
ATOMIC_POSITIONS crystal
Ge 0.0000 0.5000 0.0000
Co 0.0000 0.0000 0.5000
Co 0.5000 0.0000 0.0000
Ag 0.0000 0.0000 0.0000
V 0.5000 0.5000 0.5000



Run Q
! PBE VCo2AgGe, relaxed; values from VASP
! - spin magnetization (Bohr magnetons per cell) = 5.5
! - density of states at the Fermi level (states/eV/f.u.) = 4.2
&SYSTEM
  ibrav = 0, nat = 5, ntyp = 4
/
ATOMIC_SPECIES
Ge 72.64 Ge.upf
Co 58.93 Co.upf
Ag 107.87 Ag.upf
V 50.94 V.upf
CELL_PARAMETERS angstrom
4.3435 0.0000 0.0000
0.0000 4.6810 0.0000
0.0000 0.0000 4.3435
ATOMIC_POSITIONS crystal
Ge 0.0000 0.0000 0.0000
Co 0.0000 0.0000 0.5000
Co 0.5000 0.0000 0.0000
Ag 0.5000 0.5000 0.5000
V 0.0000 0.5000 0.0000



Result of the stability comparison: run P is the least stable of them.



Run P
! PBE CoAgH3, relaxed; values from VASP
! - spin magnetization (Bohr magnetons per cell) = 1.3
! - density of states at the Fermi level (states/eV/f.u.) = 1.7
&SYSTEM
  ibrav = 0, nat = 5, ntyp = 3
/
ATOMIC_SPECIES
H 1.01 H.upf
Co 58.93 Co.upf
Ag 107.87 Ag.upf
CELL_PARAMETERS angstrom
3.5193 0.0000 0.0000
0.0000 3.5193 0.0000
0.0000 0.0000 3.5193
ATOMIC_POSITIONS crystal
H 0.0000 0.5000 0.0000
H 0.0000 0.0000 0.5000
H 0.5000 0.0000 0.0000
Co 0.5000 0.5000 0.5000
Ag 0.0000 0.0000 0.0000



Run Q
! PBE CoAgH3, relaxed; values from VASP
! - spin magnetization (Bohr magnetons per cell) = 0.0
! - density of states at the Fermi level (states/eV/f.u.) = 1.7
&SYSTEM
  ibrav = 0, nat = 5, ntyp = 3
/
ATOMIC_SPECIES
H 1.01 H.upf
Co 58.93 Co.upf
Ag 107.87 Ag.upf
CELL_PARAMETERS angstrom
-0.0668 1.0765 3.1505
2.1507 -2.3914 0.8627
2.5414 2.0520 -0.6473
ATOMIC_POSITIONS crystal
H 0.0000 0.5000 0.0000
H 0.0000 0.0000 0.5000
H 0.5000 0.0000 0.0000
Co 0.0000 0.0000 0.0000
Ag 0.5000 0.5000 0.5000



Run R
! PBE CoAgH3, relaxed; values from VASP
! - spin magnetization (Bohr magnetons per cell) = 0.9
! - density of states at the Fermi level (states/eV/f.u.) = 2.1
&SYSTEM
  ibrav = 0, nat = 10, ntyp = 3
/
ATOMIC_SPECIES
Co 58.93 Co.upf
Ag 107.87 Ag.upf
H 1.01 H.upf
CELL_PARAMETERS angstrom
-0.2257 -1.0138 4.3398
3.3901 -2.1376 1.9784
0.6086 3.9702 3.2469
ATOMIC_POSITIONS crystal
Co 0.0631 0.9233 0.7153
Co 0.3633 0.2732 0.7638
Ag 0.9257 0.4919 0.4210
Ag 0.5008 0.7044 0.0581
H 0.3733 0.0301 0.5111
H 0.0530 0.6903 0.9680
H 0.5772 0.1663 0.9679
H 0.0530 0.1664 0.9680
H 0.3734 0.5062 0.5111
H 0.8491 0.0303 0.5113



Result of the stability comparison: run P is the least stable of them.



Run P
! PBE CoAgH2, relaxed; values from VASP
! - spin magnetization (Bohr magnetons per cell) = 0.3
! - density of states at the Fermi level (states/eV/f.u.) = 2.1
&SYSTEM
  ibrav = 0, nat = 8, ntyp = 3
/
ATOMIC_SPECIES
H 1.01 H.upf
Co 58.93 Co.upf
Ag 107.87 Ag.upf
CELL_PARAMETERS angstrom
-0.8666 3.6936 1.7348
0.1790 -1.7373 3.7885
3.6444 1.8209 2.9596
ATOMIC_POSITIONS crystal
H 0.5360 0.1250 0.2500
H 0.2140 0.6250 0.2500
H 0.3750 0.4640 0.7500
H 0.8750 0.7860 0.7500
Co 0.5000 0.5000 0.0000
Co 0.2500 0.7500 0.5000
Ag 0.0000 0.0000 0.0000
Ag 0.7500 0.2500 0.5000



Run Q
! PBE CoAgH2, relaxed; values from VASP
! - spin magnetization (Bohr magnetons per cell) = 0.5
! - density of states at the Fermi level (states/eV/f.u.) = 2.6
&SYSTEM
  ibrav = 0, nat = 4, ntyp = 3
/
ATOMIC_SPECIES
Co 58.93 Co.upf
Ag 107.87 Ag.upf
H 1.01 H.upf
CELL_PARAMETERS angstrom
2.7610 0.0000 0.0000
1.3805 2.3911 0.0000
1.3805 0.7970 5.1965
ATOMIC_POSITIONS crystal
Co 0.6699 0.6699 0.9903
Ag 0.4950 0.4950 0.5149
H 0.0429 0.0429 0.8712
H 0.2921 0.2921 0.1236



Result of the stability comparison: run P is the least stable of them.



Run P
! PBE CoAgHPd2, relaxed; values from VASP
! - spin magnetization (Bohr magnetons per cell) = 2.2
! - density of states at the Fermi level (states/eV/f.u.) = 4.6
&SYSTEM
  ibrav = 0, nat = 5, ntyp = 4
/
ATOMIC_SPECIES
H 1.01 H.upf
Co 58.93 Co.upf
Pd 106.42 Pd.upf
Ag 107.87 Ag.upf
CELL_PARAMETERS angstrom
4.0417 0.0000 0.0000
0.0000 4.0417 0.0000
0.0000 0.0000 3.8203
ATOMIC_POSITIONS crystal
H 0.0000 0.0000 0.0000
Co 0.0000 0.0000 0.5000
Pd 0.0000 0.5000 0.0000
Pd 0.5000 0.0000 0.0000
Ag 0.5000 0.5000 0.5000



Run Q
! PBE CoAgHPd2, relaxed; values from VASP
! - spin magnetization (Bohr magnetons per cell) = 2.4
! - density of states at the Fermi level (states/eV/f.u.) = 5.4
&SYSTEM
  ibrav = 0, nat = 5, ntyp = 4
/
ATOMIC_SPECIES
H 1.01 H.upf
Co 58.93 Co.upf
Pd 106.42 Pd.upf
Ag 107.87 Ag.upf
CELL_PARAMETERS angstrom
3.9796 0.0000 0.0000
0.0000 3.9796 0.0000
0.0000 0.0000 4.0223
ATOMIC_POSITIONS crystal
H 0.0000 0.0000 0.0000
Co 0.5000 0.5000 0.5000
Pd 0.0000 0.5000 0.0000
Pd 0.5000 0.0000 0.0000
Ag 0.0000 0.0000 0.5000



Result of the stability comparison: run Q is the least stable of them.



Run P
! PBE Hf2Co2Ag, relaxed; values from VASP
! - spin magnetization (Bohr magnetons per cell) = 0.0
! - density of states at the Fermi level (states/eV/f.u.) = 2.9
&SYSTEM
  ibrav = 0, nat = 10, ntyp = 3
/
ATOMIC_SPECIES
Co 58.93 Co.upf
Hf 178.49 Hf.upf
Ag 107.87 Ag.upf
CELL_PARAMETERS angstrom
7.5191 0.0000 0.0000
0.0000 7.5191 0.0000
0.0000 0.0000 2.9728
ATOMIC_POSITIONS crystal
Co 0.1393 0.6393 0.5000
Co 0.6393 0.8607 0.5000
Co 0.8607 0.3607 0.5000
Co 0.3607 0.1393 0.5000
Hf 0.3511 0.8511 0.0000
Hf 0.8511 0.6489 0.0000
Hf 0.6489 0.1489 0.0000
Hf 0.1489 0.3511 0.0000
Ag 0.0000 0.0000 0.0000
Ag 0.5000 0.5000 0.0000



Run Q
! PBE Hf2Co2Ag, relaxed; values from VASP
! - spin magnetization (Bohr magnetons per cell) = 0.0
! - density of states at the Fermi level (states/eV/f.u.) = 4.9
&SYSTEM
  ibrav = 0, nat = 10, ntyp = 3
/
ATOMIC_SPECIES
Co 58.93 Co.upf
Hf 178.49 Hf.upf
Ag 107.87 Ag.upf
CELL_PARAMETERS angstrom
7.1163 0.0000 0.0000
0.0000 7.1163 0.0000
0.0000 0.0000 3.1864
ATOMIC_POSITIONS crystal
Co 0.3672 0.8672 0.0000
Co 0.8672 0.6328 0.0000
Co 0.6328 0.1328 0.0000
Co 0.1328 0.3672 0.0000
Hf 0.1619 0.6619 0.5000
Hf 0.6619 0.8381 0.5000
Hf 0.8381 0.3381 0.5000
Hf 0.3381 0.1619 0.5000
Ag 0.0000 0.0000 0.0000
Ag 0.5000 0.5000 0.0000



Result of the stability comparison: run P is the least stable of them.



Run P
! PBE Hf2CoAg, relaxed; values from VASP
! - spin magnetization (Bohr magnetons per cell) = 0.3
! - density of states at the Fermi level (states/eV/f.u.) = 3.8
&SYSTEM
  ibrav = 0, nat = 4, ntyp = 3
/
ATOMIC_SPECIES
Co 58.93 Co.upf
Hf 178.49 Hf.upf
Ag 107.87 Ag.upf
CELL_PARAMETERS angstrom
1.0881 -2.0653 4.0240
-2.6765 -3.4266 1.6541
1.5727 -4.3781 0.0168
ATOMIC_POSITIONS crystal
Co 0.0000 0.0000 0.0000
Hf 0.2500 0.2500 0.2500
Hf 0.7500 0.7500 0.7500
Ag 0.5000 0.5000 0.5000



Run Q
! PBE Hf2CoAg, relaxed; values from VASP
! - spin magnetization (Bohr magnetons per cell) = 0.3
! - density of states at the Fermi level (states/eV/f.u.) = 4.5
&SYSTEM
  ibrav = 0, nat = 4, ntyp = 3
/
ATOMIC_SPECIES
Co 58.93 Co.upf
Hf 178.49 Hf.upf
Ag 107.87 Ag.upf
CELL_PARAMETERS angstrom
3.1621 0.0000 0.0000
0.0000 3.1621 0.0000
0.0000 0.0000 7.0949
ATOMIC_POSITIONS crystal
Co 0.5000 0.5000 0.0000
Hf 0.0000 0.0000 0.7809
Hf 0.0000 0.0000 0.2191
Ag 0.5000 0.5000 0.5000



Run R
! PBE Hf2CoAg, relaxed; values from VASP
! - spin magnetization (Bohr magnetons per cell) = 0.0
! - density of states at the Fermi level (states/eV/f.u.) = 2.2
&SYSTEM
  ibrav = 0, nat = 4, ntyp = 3
/
ATOMIC_SPECIES
Co 58.93 Co.upf
Hf 178.49 Hf.upf
Ag 107.87 Ag.upf
CELL_PARAMETERS angstrom
-1.5036 -2.6926 1.0631
-0.4697 -2.5134 -2.0256
7.3176 -5.2145 2.1470
ATOMIC_POSITIONS crystal
Co 0.5000 0.5000 0.5000
Hf 0.1067 0.1067 0.6800
Hf 0.8933 0.8933 0.3200
Ag 0.0000 0.0000 0.0000



Run S
! PBE Hf2CoAg, relaxed; values from VASP
! - spin magnetization (Bohr magnetons per cell) = 0.0
! - density of states at the Fermi level (states/eV/f.u.) = 0.5
&SYSTEM
  ibrav = 0, nat = 8, ntyp = 3
/
ATOMIC_SPECIES
Co 58.93 Co.upf
Hf 178.49 Hf.upf
Ag 107.87 Ag.upf
CELL_PARAMETERS angstrom
-4.3250 4.4524 3.8038
-2.3601 -5.6530 3.9335
-1.2691 -0.1733 5.7264
ATOMIC_POSITIONS crystal
Co 0.5000 0.5000 0.0000
Co 0.2500 0.7500 0.5000
Hf 0.5814 0.1250 0.2500
Hf 0.1686 0.6250 0.2500
Hf 0.3750 0.4186 0.7500
Hf 0.8750 0.8314 0.7500
Ag 0.0000 0.0000 0.0000
Ag 0.7500 0.2500 0.5000



Result of the stability comparison: run R is the least stable of them.



Run P
! PBE CoAgHg, relaxed; values from VASP
! - spin magnetization (Bohr magnetons per cell) = 1.4
! - density of states at the Fermi level (states/eV/f.u.) = 6.8
&SYSTEM
  ibrav = 0, nat = 3, ntyp = 3
/
ATOMIC_SPECIES
Ag 107.87 Ag.upf
Co 58.93 Co.upf
Hg 200.59 Hg.upf
CELL_PARAMETERS angstrom
4.3431 0.0000 0.0000
2.1716 3.7613 0.0000
2.1716 1.2538 3.5462
ATOMIC_POSITIONS crystal
Ag 0.5000 0.5000 0.5000
Co 0.7500 0.7500 0.7500
Hg 0.0000 0.0000 0.0000



Run Q
! PBE CoAgHg, relaxed; values from VASP
! - spin magnetization (Bohr magnetons per cell) = 1.5
! - density of states at the Fermi level (states/eV/f.u.) = 4.5
&SYSTEM
  ibrav = 0, nat = 3, ntyp = 3
/
ATOMIC_SPECIES
Ag 107.87 Ag.upf
Co 58.93 Co.upf
Hg 200.59 Hg.upf
CELL_PARAMETERS angstrom
4.5624 0.0000 0.0000
-2.2812 3.9511 0.0000
0.0000 0.0000 2.8308
ATOMIC_POSITIONS crystal
Ag 0.0000 0.0000 0.0222
Co 0.6667 0.3333 0.3573
Hg 0.3333 0.6667 0.6204



Run R
! PBE CoAgHg, relaxed; values from VASP
! - spin magnetization (Bohr magnetons per cell) = 1.5
! - density of states at the Fermi level (states/eV/f.u.) = 3.9
&SYSTEM
  ibrav = 0, nat = 3, ntyp = 3
/
ATOMIC_SPECIES
Ag 107.87 Ag.upf
Co 58.93 Co.upf
Hg 200.59 Hg.upf
CELL_PARAMETERS angstrom
6.2046 0.8710 -0.2667
4.3526 4.5297 0.2459
-5.1662 -2.9305 2.0607
ATOMIC_POSITIONS crystal
Ag 0.9871 0.9860 0.0011
Co 0.3355 0.3359 0.9996
Hg 0.6775 0.6782 0.9993



Run S
! PBE CoAgHg, relaxed; values from VASP
! - spin magnetization (Bohr magnetons per cell) = 1.7
! - density of states at the Fermi level (states/eV/f.u.) = 2.6
&SYSTEM
  ibrav = 0, nat = 3, ntyp = 3
/
ATOMIC_SPECIES
Ag 107.87 Ag.upf
Co 58.93 Co.upf
Hg 200.59 Hg.upf
CELL_PARAMETERS angstrom
2.9374 0.0000 0.0000
-1.4687 2.5438 0.0000
0.0000 0.0000 6.9005
ATOMIC_POSITIONS crystal
Ag 0.0000 0.0000 0.0214
Co 0.6667 0.3333 0.3286
Hg 0.3333 0.6667 0.6500



Result of the stability comparison: run P is the least stable of them.